[1]
Density functional theory data (GGA-PBE) for a relaxed structure of Pr3NdY3Te8.

Cell: 8.8851 8.8851 8.8851 Å, 59.75 59.75 59.75°
Sites, in units of the cell vectors:
Pr1 0.0000 0.5000 0.5000
Pr2 0.5000 0.0000 0.5000
Pr3 0.5000 0.5000 0.0000
Nd1 0.5000 0.5000 0.5000
Y1 0.0000 0.0000 0.5000
Y2 0.0000 0.5000 0.0000
Y3 0.5000 0.0000 0.0000
Te1 0.2336 0.7576 0.7576
Te2 0.2424 0.2424 0.7664
Te3 0.2424 0.7664 0.2424
Te4 0.2457 0.2457 0.2457
Te5 0.7543 0.7543 0.7543
Te6 0.7576 0.2336 0.7576
Te7 0.7576 0.7576 0.2336
Te8 0.7664 0.2424 0.2424

## Properties
Symmetry: R-3m, No. 166
Formation energy (no corrections), eV per atom: -1.4354
Electronic total energy, eV/atom: -5.678


[2]
Density functional theory data (GGA-PBE) for a relaxed structure of LiHo2Cu9.

Cell: 8.7272 8.7272 8.7272 Å, 33.88 33.88 33.88°
Sites, in units of the cell vectors:
Li1 0.0000 0.0000 0.0000
Ho1 0.1367 0.1367 0.1367
Ho2 0.8633 0.8633 0.8633
Cu1 0.0795 0.5828 0.5828
Cu2 0.3330 0.3330 0.3330
Cu3 0.4172 0.4172 0.9205
Cu4 0.4172 0.9205 0.4172
Cu5 0.5000 0.5000 0.5000
Cu6 0.5828 0.0795 0.5828
Cu7 0.5828 0.5828 0.0795
Cu8 0.6670 0.6670 0.6670
Cu9 0.9205 0.4172 0.4172

## Properties
DFT formation energy, eV per atom: -0.112
Symmetry: R-3m, No. 166
Electronic total energy, eV/atom: -4.107


| no. | Fermi-level density of states (states/eV/cell) |
| --- | --- |
| 1 | 7.14 |
| 2 | 5.67 |